(1)
A geometry-optimized SiMoOs structure, computed with PBEsol.

Results
raw formation energy = -0.341 eV per atom

Structure (POSCAR):
```
SiMoOs
1.0
2.8847 0.0000 0.0000
0.0000 2.8847 0.0000
-1.4424 -1.4424 4.8784
Si Os Mo
1 1 1
direct
0.3256 0.3256 0.6513 Si
0.6802 0.6802 0.3604 Os
0.9942 0.9942 0.9883 Mo
```



(2)
A geometry-optimized SiMoOs structure, computed with PBEsol.

Results
raw formation energy = -0.319 eV per atom

Structure (POSCAR):
```
SiMoOs
1.0
2.7979 0.0000 0.0000
0.0000 4.1545 0.0000
0.0000 -2.0773 3.5979
Mo Si Os
1 1 1
direct
0.0000 0.0000 0.0000 Mo
0.5000 0.3333 0.6667 Si
0.5000 0.6667 0.3333 Os
```



(3)
A geometry-optimized SiMoOs2 structure, computed with PBEsol.

Results
raw formation energy = -0.040 eV per atom

Structure (POSCAR):
```
SiMoOs2
1.0
2.7723 0.0000 0.0000
1.3861 2.4009 0.0000
1.3861 0.8003 8.3272
Os Si Mo
2 1 1
direct
0.2447 0.2447 0.2660 Os
0.7553 0.7553 0.7340 Os
0.5000 0.5000 0.5000 Si
0.0000 0.0000 0.0000 Mo
```



(4)
A geometry-optimized Si2MoOs structure, computed with PBEsol.

Results
raw formation energy = -0.310 eV per atom

Structure (POSCAR):
```
Si2MoOs
1.0
2.9522 0.0000 0.0000
0.0000 2.9522 0.0000
0.0000 0.0000 6.0367
Si Mo Os
2 1 1
direct
0.0000 0.0000 0.2572 Si
0.0000 0.0000 0.7428 Si
0.5000 0.5000 0.0000 Mo
0.5000 0.5000 0.5000 Os
```



(5)
A geometry-optimized SiMo2Os structure, computed with PBEsol.

Results
raw formation energy = -0.057 eV per atom

Structure (POSCAR):
```
SiMo2Os
1.0
2.7984 0.0000 0.0000
0.0000 4.7695 -0.0161
0.0000 -2.1060 4.2794
Mo Si Os
2 1 1
direct
0.0000 0.0000 0.5000 Mo
0.0000 0.5000 0.0000 Mo
0.5000 0.5000 0.5000 Si
0.5000 0.0000 0.0000 Os
```



(6)
A geometry-optimized Si2MoOs structure, computed with PBEsol.

Results
raw formation energy = -0.304 eV per atom

Structure (POSCAR):
```
Si2MoOs
1.0
-1.2732 3.4096 2.0946
-3.6711 1.8015 -0.9547
-3.2261 -0.2623 2.6753
Si Mo Os
2 1 1
direct
0.7500 0.7500 0.7500 Si
0.2500 0.2500 0.2500 Si
0.5000 0.5000 0.5000 Mo
0.0000 0.0000 0.0000 Os
```



(7)
A geometry-optimized SiMoOs2 structure, computed with PBEsol.

Results
raw formation energy = 0.115 eV per atom

Structure (POSCAR):
```
SiMoOs2
1.0
2.8576 0.0000 0.0000
0.0000 4.3796 0.0000
0.0000 0.0000 4.4673
Os Si Mo
2 1 1
direct
0.5000 0.0000 0.5000 Os
0.0000 0.0000 0.0000 Os
0.5000 0.5000 0.0000 Si
0.0000 0.5000 0.5000 Mo
```



(8)
A geometry-optimized Si2MoOs structure, computed with PBEsol.

Results
raw formation energy = -0.166 eV per atom

Structure (POSCAR):
```
Si2MoOs
1.0
2.8338 0.0000 0.0135
0.0000 3.8046 0.0000
-0.0269 0.0000 5.1865
Mo Os Si
1 1 2
direct
0.5000 0.5000 0.0000 Mo
0.0000 0.5000 0.5000 Os
0.0010 0.0000 0.2340 Si
0.9990 0.0000 0.7660 Si
```



no.,total magnetic moment (μB/f.u.),calculated volume (Å³ per cell)
1,0.00,41
2,0.00,42
3,0.00,55
4,0.00,53
5,0.00,57
6,0.00,52
7,0.00,56
8,0.00,56